1.
{
  "formula": "CeReOs",
  "functional": "PBE",
  "state": "relaxed",
  "e_above_lowest_polymorph_mev_per_atom": 198.0,
  "e_tot_ev_per_atom": -9.85,
  "space_group": "I4mm (107)",
  "formation_enthalpy_0k_ev_per_atom": 0.02,
  "crystal_system": "tetragonal",
  "cell": [[-1.484, 1.484, 6.293], [1.484, -1.484, 6.293], [1.484, 1.484, -6.293]],
  "species": ["Ce", "Re", "Os"],
  "frac_coords": [[0.000, 0.000, 0.000], [0.691, 0.691, 0.000], [0.311, 0.311, 0.000]]
}

***

2.
{
  "formula": "KBeIO2",
  "functional": "PBE",
  "state": "relaxed",
  "e_above_lowest_polymorph_mev_per_atom": 1202.5,
  "e_tot_ev_per_atom": -2.36,
  "space_group": "P4/mmm (123)",
  "crystal_system": "tetragonal",
  "cell": [[4.523, 0.000, 0.000], [0.000, 4.523, 0.000], [0.000, 0.000, 7.136]],
  "species": ["K", "Be", "I", "O", "O"],
  "frac_coords": [[0.000, 0.000, 0.000], [0.500, 0.500, 0.500], [0.000, 0.000, 0.500], [0.000, 0.500, 0.000], [0.500, 0.000, 0.000]]
}

***

3.
{
  "formula": "RbCd2Mo",
  "functional": "PBE",
  "state": "relaxed",
  "e_above_lowest_polymorph_mev_per_atom": 24.7,
  "e_tot_ev_per_atom": -2.42,
  "space_group": "Fm-3m (225)",
  "formation_enthalpy_0k_ev_per_atom": 0.99,
  "crystal_system": "cubic",
  "cell": [[0.000, 3.794, 3.794], [3.794, 0.000, 3.794], [3.794, 3.794, 0.000]],
  "species": ["Rb", "Cd", "Cd", "Mo"],
  "frac_coords": [[0.000, 0.000, 0.000], [0.250, 0.250, 0.250], [0.750, 0.750, 0.750], [0.500, 0.500, 0.500]]
}

***

4.
{
  "formula": "CsSi3Sn",
  "functional": "PBE",
  "state": "relaxed",
  "e_above_lowest_polymorph_mev_per_atom": 1156.1,
  "e_tot_ev_per_atom": -2.12,
  "space_group": "Pm-3m (221)",
  "crystal_system": "cubic",
  "cell": [[5.560, 0.000, 0.000], [0.000, 5.560, 0.000], [0.000, 0.000, 5.560]],
  "species": ["Cs", "Si", "Si", "Si", "Sn"],
  "frac_coords": [[0.000, 0.000, 0.000], [0.000, 0.000, 0.500], [0.000, 0.500, 0.000], [0.500, 0.000, 0.000], [0.500, 0.500, 0.500]]
}

***

5.
{
  "formula": "Sr2ScPb",
  "functional": "PBE",
  "state": "relaxed",
  "e_tot_ev_per_atom": -3.43,
  "space_group": "Pmmm (47)",
  "formation_enthalpy_0k_ev_per_atom": -0.08,
  "crystal_system": "orthorhombic",
  "cell": [[3.843, 0.000, 0.000], [0.000, 5.035, 0.000], [0.000, 0.000, 7.106]],
  "species": ["Sr", "Sr", "Sc", "Pb"],
  "frac_coords": [[0.000, 0.000, 0.241], [0.000, 0.000, 0.759], [0.500, 0.500, 0.500], [0.500, 0.500, 0.000]]
}

***

6.
{
  "formula": "BaNaAcO3",
  "functional": "PBE",
  "state": "relaxed",
  "e_tot_ev_per_atom": -6.08,
  "space_group": "Cmcm (63)",
  "crystal_system": "orthorhombic",
  "cell": [[1.928, -6.078, 0.000], [1.928, 6.078, 0.000], [0.000, 0.000, 9.907]],
  "species": ["Ba", "Ba", "Na", "Na", "Ac", "Ac", "O", "O", "O", "O", "O", "O"],
  "frac_coords": [[0.247, 0.753, 0.750], [0.753, 0.247, 0.250], [0.015, 0.985, 0.250], [0.985, 0.015, 0.750], [0.500, 0.500, 0.000], [0.500, 0.500, 0.500], [0.120, 0.880, 0.070], [0.120, 0.880, 0.430], [0.416, 0.584, 0.250], [0.584, 0.416, 0.750], [0.880, 0.120, 0.570], [0.880, 0.120, 0.930]]
}

***

7.
{
  "formula": "BeCu3Au6",
  "functional": "PBE",
  "state": "relaxed",
  "e_above_lowest_polymorph_mev_per_atom": 0.0,
  "e_tot_ev_per_atom": -3.61,
  "space_group": "P2_1/m (11)",
  "formation_enthalpy_0k_ev_per_atom": -0.04,
  "crystal_system": "monoclinic",
  "cell": [[7.508, 0.000, 0.000], [0.000, 4.487, 0.000], [-3.615, 0.000, 9.162]],
  "species": ["Be", "Be", "Cu", "Cu", "Cu", "Cu", "Cu", "Cu", "Au", "Au", "Au", "Au", "Au", "Au", "Au", "Au", "Au", "Au", "Au", "Au"],
  "frac_coords": [[0.034, 0.250, 0.419], [0.966, 0.750, 0.581], [0.235, 0.250, 0.034], [0.404, 0.750, 0.778], [0.476, 0.250, 0.632], [0.524, 0.750, 0.368], [0.596, 0.250, 0.222], [0.765, 0.750, 0.966], [0.091, 0.750, 0.850], [0.140, 0.750, 0.157], [0.155, 0.250, 0.685], [0.239, 0.750, 0.496], [0.320, 0.250, 0.340], [0.469, 0.750, 0.076], [0.531, 0.250, 0.924], [0.680, 0.750, 0.660], [0.761, 0.250, 0.504], [0.845, 0.750, 0.315], [0.860, 0.250, 0.843], [0.909, 0.250, 0.150]]
}

***

8.
{
  "formula": "LaCeSbAu",
  "functional": "PBE",
  "state": "relaxed",
  "e_tot_ev_per_atom": -5.35,
  "space_group": "F-43m (216)",
  "crystal_system": "cubic",
  "cell": [[0.000, 3.837, 3.837], [3.837, 0.000, 3.837], [3.837, 3.837, 0.000]],
  "species": ["La", "Ce", "Sb", "Au"],
  "frac_coords": [[0.000, 0.000, 0.000], [0.500, 0.500, 0.500], [0.250, 0.250, 0.250], [0.750, 0.750, 0.750]]
}

***

9.
{
  "formula": "Si2Os2Pt",
  "functional": "PBE",
  "state": "relaxed",
  "e_above_lowest_polymorph_mev_per_atom": 0.0,
  "e_tot_ev_per_atom": -8.02,
  "space_group": "P4/mbm (127)",
  "crystal_system": "tetragonal",
  "cell": [[7.032, 0.000, 0.000], [0.000, 7.032, 0.000], [0.000, 0.000, 2.815]],
  "species": ["Si", "Si", "Si", "Si", "Os", "Os", "Os", "Os", "Pt", "Pt"],
  "frac_coords": [[0.147, 0.353, 0.000], [0.353, 0.853, 0.000], [0.647, 0.147, 0.000], [0.853, 0.647, 0.000], [0.150, 0.650, 0.500], [0.350, 0.150, 0.500], [0.650, 0.850, 0.500], [0.850, 0.350, 0.500], [0.000, 0.000, 0.000], [0.500, 0.500, 0.000]]
}

***

10.
{
  "formula": "TiMnSbRu",
  "functional": "PBE",
  "state": "relaxed",
  "e_tot_ev_per_atom": -7.98,
  "space_group": "F-43m (216)",
  "crystal_system": "cubic",
  "cell": [[0.000, 3.091, 3.091], [3.091, 0.000, 3.091], [3.091, 3.091, 0.000]],
  "species": ["Ti", "Mn", "Sb", "Ru"],
  "frac_coords": [[0.000, 0.000, 0.000], [0.250, 0.250, 0.250], [0.500, 0.500, 0.500], [0.750, 0.750, 0.750]]
}

***

11.
{
  "formula": "YSc2Tl",
  "functional": "PBE",
  "state": "relaxed",
  "e_above_lowest_polymorph_mev_per_atom": 14.6,
  "e_tot_ev_per_atom": -5.56,
  "space_group": "P4/mmm (123)",
  "formation_enthalpy_0k_ev_per_atom": -0.19,
  "crystal_system": "tetragonal",
  "cell": [[4.646, 0.000, 0.000], [0.000, 4.646, 0.000], [0.000, 0.000, 4.662]],
  "species": ["Y", "Sc", "Sc", "Tl"],
  "frac_coords": [[0.000, 0.000, 0.000], [0.000, 0.500, 0.500], [0.500, 0.000, 0.500], [0.500, 0.500, 0.000]]
}

***

12.
{
  "formula": "KBaSe",
  "functional": "PBE",
  "state": "relaxed",
  "e_above_lowest_polymorph_mev_per_atom": 105.1,
  "e_tot_ev_per_atom": -3.25,
  "space_group": "F-43m (216)",
  "crystal_system": "cubic",
  "cell": [[0.000, 3.916, 3.916], [3.916, 0.000, 3.916], [3.916, 3.916, 0.000]],
  "species": ["K", "Ba", "Se"],
  "frac_coords": [[0.000, 0.000, 0.000], [0.500, 0.500, 0.500], [0.250, 0.250, 0.250]]
}